Entry 1:
Material: Cs2NaTlI4
Method: DFT, PBE-GGA
State: optimized geometry

Lattice parameters (Å, degrees): 8.9562 5.1629 9.0272 90.00 109.03 90.00
Closest atoms and distances in Å follow each position.
Space group P2/m (No. 10)
Asymmetric unit:
Cs (0.0000, 0.0000, 0.0000) (multiplicity 1)  6 I 3.79-3.80
Cs (0.5000, 0.5000, 0.0000) (multiplicity 1)  6 I 3.91-3.93
Na (0.0000, 0.5000, 0.5000) (multiplicity 1)  6 I 3.40-3.45
Tl (0.5000, 0.0000, 0.5000) (multiplicity 1)  6 I 3.56
I (0.2275, 0.0000, 0.7117) (multiplicity 2)  2 Na 3.45, 1 Tl 3.56, 1 Cs 3.79
I (0.2479, 0.5000, 0.2845) (multiplicity 2)  1 Na 3.40, 2 Tl 3.56

Values from the calculation:
formation energy from raw total energies = -1.23 eV/atom

Entry 2:
Material: Mg2OsRu
Method: DFT, PBE-GGA
State: optimized geometry

Lattice parameters (Å, degrees): 3.0523 4.5664 8.8567 90.00 90.00 90.00
Closest atoms and distances in Å follow each position.
Space group Cmmm (No. 65)
Asymmetric unit:
Mg (0.0000, 0.0000, 0.2471) (multiplicity 4)  2 Ru 2.67, 2 Os 2.71, 4 Mg 2.75
Os (0.0000, 0.5000, 0.5000) (multiplicity 2)  4 Mg 2.71, 4 Os 2.75
Ru (0.0000, 0.5000, 0.0000) (multiplicity 2)  4 Mg 2.67, 4 Ru 2.75

Values from the calculation:
formation enthalpy at 0 K = 220 meV/atom

Entry 3:
Material: HfTlHg2
Method: DFT, PBE-GGA
State: optimized geometry

Lattice parameters (Å, degrees): 8.0737 8.0737 6.1416 90.00 90.00 90.00
Closest atoms and distances in Å follow each position.
Space group I-42d (No. 122)
Asymmetric unit:
Hf (0.0000, 0.0000, 0.0000) (multiplicity 4)  4 Hg 2.89, 2 Tl 3.07
Tl (0.0000, 0.0000, 0.5000) (multiplicity 4)  4 Hg 3.02, 2 Hf 3.07
Hg (0.2384, 0.7500, 0.1250) (multiplicity 8)  2 Hf 2.89, 2 Tl 3.02, 2 Hg 3.08

Values from the calculation:
formation enthalpy at 0 K = 269 meV/atom

Entry 4:
Material: NaPaCu2Te4
Method: DFT, PBE-GGA
State: optimized geometry

Lattice parameters (Å, degrees): 7.0967 7.8994 7.9633 90.00 90.00 90.00
Closest atoms and distances in Å follow each position.
Space group I222 (No. 23)
Asymmetric unit:
Na (0.0000, 0.0000, 0.0000) (multiplicity 2)  8 Te 3.26-3.42
Pa (0.0000, 0.5000, 0.0000) (multiplicity 2)  4 Te 2.99
Cu (0.0000, 0.1566, 0.5000) (multiplicity 4)  1 Cu 2.47, 2 Te 2.53
Te (0.2437, 0.2768, 0.7890) (multiplicity 8)  1 Cu 2.53

Values from the calculation:
formation energy from raw total energies = -0.35 eV/atom